Compound: VCrBi2H
Source: the Alexandria database
Functional: PBE
Structure: relaxed

Cell lengths 5.212, 5.212, 4.450 Å; angles 90.00, 90.00, 90.00 degrees
Positions (direct):
V 0.000 0.000 0.000
Cr 0.000 0.000 0.500
Bi 0.000 0.500 0.000
Bi 0.500 0.000 0.000
H 0.500 0.500 0.500

**Volume**: 120.9 Å³/cell
**Final energy**: -4.9141 eV/atom
**Total moment**: 2.522 μB/f.u.
**Crystal system**: tetragonal